Compound: Cs2Rb2Cl2O
Source: Alexandria via LeMat-Bulk
Functional: PBE-GGA
Structure: optimized geometry

a = 16.6618 Å, b = 4.4677 Å, c = 7.8316 Å
α = 90.00°, β = 116.53°, γ = 90.00°
With the nearest neighbours (Å) after each atom.
Fractional positions:
Cs (0.0144, 0.0000, 0.2616)  2 O 2.99
Cs (0.4856, 0.5000, 0.7384)  2 O 2.99
Cs (0.5144, 0.5000, 0.2616)  2 O 2.99
Cs (0.9856, 0.0000, 0.7384)  2 O 2.99
Rb (0.1806, 0.5000, 0.7224)  1 O 2.72
Rb (0.3194, 0.0000, 0.2776)  1 O 2.72
Rb (0.6806, 0.0000, 0.7224)  1 O 2.72
Rb (0.8194, 0.5000, 0.2776)  1 O 2.72
Cl (0.1622, 0.5000, 0.1367)  3 Rb 3.24-3.39
Cl (0.3378, 0.0000, 0.8633)  3 Rb 3.24-3.39
Cl (0.6622, 0.0000, 0.1367)  3 Rb 3.24-3.39
Cl (0.8378, 0.5000, 0.8633)  3 Rb 3.24-3.39
O (0.0000, 0.5000, 0.5000)  2 Rb 2.72, 4 Cs 2.99
O (0.5000, 0.0000, 0.5000)  2 Rb 2.72, 4 Cs 2.99

Output
ΔE_f (raw): -1.496 eV/atom
Calculated density: 3.33 g cm⁻³
Calculated volume: 522 Å³/cell

=====

Compound: Ba2LaWN4
Source: Alexandria via LeMat-Bulk
Functional: PBE-GGA
Structure: optimized geometry

a = 7.8711 Å, b = 7.4718 Å, c = 5.9523 Å
α = 90.00°, β = 90.00°, γ = 90.00°
With the nearest neighbours (Å) after each atom.
Fractional positions:
Ba (0.2494, 0.1564, 0.0000)  4 N 2.66-2.87
Ba (0.2506, 0.8436, 0.5000)  4 N 2.66-2.87
Ba (0.7494, 0.8436, 0.5000)  4 N 2.66-2.87
Ba (0.7506, 0.1564, 0.0000)  4 N 2.66-2.87
La (0.0000, 0.3589, 0.5139)  4 N 2.30-2.55
La (0.5000, 0.6411, 0.0139)  4 N 2.30-2.55
W (0.0000, 0.6534, 0.0325)  4 N 1.89-1.91
W (0.5000, 0.3466, 0.5325)  4 N 1.89-1.91
N (0.0000, 0.4148, 0.9175)  1 W 1.91
N (0.0000, 0.6374, 0.3488)  1 W 1.89
N (0.2047, 0.7764, 0.9602)  1 W 1.90
N (0.2953, 0.2236, 0.4602)  1 W 1.90
N (0.5000, 0.3626, 0.8488)  1 W 1.89
N (0.5000, 0.5852, 0.4175)  1 W 1.91
N (0.7047, 0.2236, 0.4602)  1 W 1.90
N (0.7953, 0.7764, 0.9602)  1 W 1.90

Output
DOS(E_F): 2.3 states/eV/f.u.
ΔE_f (raw): -0.909 eV/atom
Calculated density: 6.20 g cm⁻³
Calculated volume: 350 Å³/cell

=====

Compound: Ni2Ge2P
Source: Alexandria via LeMat-Bulk
Functional: PBE-GGA
Structure: optimized geometry

a = 7.0394 Å, b = 7.0394 Å, c = 2.8161 Å
α = 90.00°, β = 90.00°, γ = 90.00°
With the nearest neighbours (Å) after each atom.
Fractional positions:
Ni (0.1364, 0.3636, 0.0000)  6 Ge 2.47-2.52, 1 Ni 2.72, 2 P 2.73
Ni (0.3636, 0.8636, 0.0000)  6 Ge 2.47-2.52, 1 Ni 2.72, 2 P 2.73
Ni (0.6364, 0.1364, 0.0000)  6 Ge 2.47-2.52, 1 Ni 2.72, 2 P 2.73
Ni (0.8636, 0.6364, 0.0000)  6 Ge 2.47-2.52, 1 Ni 2.72, 2 P 2.73
Ge (0.1598, 0.6598, 0.5000)  6 Ni 2.47-2.52
Ge (0.3402, 0.1598, 0.5000)  6 Ni 2.47-2.52
Ge (0.6598, 0.8402, 0.5000)  6 Ni 2.47-2.52
Ge (0.8402, 0.3402, 0.5000)  6 Ni 2.47-2.52
P (0.0000, 0.0000, 0.0000)  4 Ni 2.73, 2 P 2.82, 8 Ge 3.00
P (0.5000, 0.5000, 0.0000)  4 Ni 2.73, 2 P 2.82, 8 Ge 3.00

Output
DOS(E_F): 2.2 states/eV/f.u.
Calculated density: 6.99 g cm⁻³
Calculated volume: 140 Å³/cell
Energy of formation from the pure elements: 0.07 eV per atom

=====

Compound: Cr2InAgH
Source: Alexandria via LeMat-Bulk
Functional: PBE-GGA
Structure: optimized geometry

a = 4.1766 Å, b = 4.1766 Å, c = 4.1618 Å
α = 90.00°, β = 90.00°, γ = 90.00°
With the nearest neighbours (Å) after each atom.
Fractional positions:
Cr (0.0000, 0.5000, 0.0000)  2 H 2.09
Cr (0.5000, 0.0000, 0.0000)  2 H 2.09
In (0.0000, 0.0000, 0.5000)  8 Cr 2.95, 4 Ag 2.95
Ag (0.5000, 0.5000, 0.5000)  2 H 2.08
H (0.5000, 0.5000, 0.0000)  2 Ag 2.08, 4 Cr 2.09

Output
DOS(E_F): 1.8 states/eV/f.u.
Calculated density: 7.50 g cm⁻³
Calculated volume: 73 Å³/cell
E: -5.291 eV per atom

=====

Compound: UCo4H8
Source: Alexandria via LeMat-Bulk
Functional: PBE-GGA
Structure: optimized geometry

a = 5.7313 Å, b = 5.7313 Å, c = 5.7313 Å
α = 53.96°, β = 53.96°, γ = 53.96°
With the nearest neighbours (Å) after each atom.
Fractional positions:
U (0.0000, 0.0000, 0.0000)  6 H 2.27
Co (0.0000, 0.0000, 0.5000)  6 H 1.74
Co (0.0000, 0.5000, 0.0000)  6 H 1.74
Co (0.5000, 0.0000, 0.0000)  6 H 1.74
Co (0.5000, 0.5000, 0.5000)  6 H 1.63
H (0.2264, 0.2264, 0.2264)  3 Co 1.74
H (0.2394, 0.7128, 0.7128)  3 Co 1.63-1.74
H (0.2872, 0.2872, 0.7606)  3 Co 1.63-1.74
H (0.2872, 0.7606, 0.2872)  3 Co 1.63-1.74
H (0.7128, 0.2394, 0.7128)  3 Co 1.63-1.74
H (0.7128, 0.7128, 0.2394)  3 Co 1.63-1.74
H (0.7606, 0.2872, 0.2872)  3 Co 1.63-1.74
H (0.7736, 0.7736, 0.7736)  3 Co 1.74

Output
DOS(E_F): 10.4 states/eV/f.u.
Calculated density: 7.00 g cm⁻³
Calculated volume: 114 Å³/cell
E: -5.036 eV per atom

=====

Compound: Ac3HgIrCl
Source: Alexandria via LeMat-Bulk
Functional: PBE-GGA
Structure: optimized geometry

a = 8.9961 Å, b = 4.5494 Å, c = 10.0450 Å
α = 90.00°, β = 99.52°, γ = 90.00°
With the nearest neighbours (Å) after each atom.
Fractional positions:
Ac (0.0599, 0.2500, 0.3478)  3 Ir 3.01-3.03
Ac (0.2111, 0.2500, 0.9522)  1 Ir 3.01, 3 Cl 3.02-3.37
Ac (0.3746, 0.7500, 0.6204)  1 Cl 2.89, 2 Ir 3.01
Ac (0.6254, 0.2500, 0.3796)  1 Cl 2.89, 2 Ir 3.01
Ac (0.7889, 0.7500, 0.0478)  1 Ir 3.01, 3 Cl 3.02-3.37
Ac (0.9401, 0.7500, 0.6522)  3 Ir 3.01-3.03
Hg (0.3021, 0.7500, 0.2496)  7 Ac 3.41-3.75, 1 Cl 3.72
Hg (0.6979, 0.2500, 0.7504)  7 Ac 3.41-3.75, 1 Cl 3.72
Ir (0.1627, 0.2500, 0.6485)  6 Ac 3.01-3.03
Ir (0.8373, 0.7500, 0.3515)  6 Ac 3.01-3.03
Cl (0.4209, 0.7500, 0.9124)  3 Ac 2.89-3.02, 2 Cl 3.08
Cl (0.5791, 0.2500, 0.0876)  3 Ac 2.89-3.02, 2 Cl 3.08

Output
DOS(E_F): 3.7 states/eV/f.u.
ΔE_f (raw): -0.877 eV/atom
Calculated density: 9.09 g cm⁻³
Calculated volume: 405 Å³/cell

=====

Compound: YHfInAu
Source: Alexandria via LeMat-Bulk
Functional: PBE-GGA
Structure: optimized geometry

a = 7.1548 Å, b = 7.1548 Å, c = 7.1548 Å
α = 90.00°, β = 90.00°, γ = 90.00°
With the nearest neighbours (Å) after each atom.
Fractional positions:
Y (0.0000, 0.0000, 0.0000)  4 In 3.10, 4 Au 3.10
Y (0.0000, 0.5000, 0.5000)  4 In 3.10, 4 Au 3.10
Y (0.5000, 0.0000, 0.5000)  4 In 3.10, 4 Au 3.10
Y (0.5000, 0.5000, 0.0000)  4 In 3.10, 4 Au 3.10
Hf (0.0000, 0.0000, 0.5000)  4 Au 3.10, 4 In 3.10
Hf (0.0000, 0.5000, 0.0000)  4 Au 3.10, 4 In 3.10
Hf (0.5000, 0.0000, 0.0000)  4 Au 3.10, 4 In 3.10
Hf (0.5000, 0.5000, 0.5000)  4 Au 3.10, 4 In 3.10
In (0.2500, 0.2500, 0.7500)  4 Hf 3.10, 4 Y 3.10
In (0.2500, 0.7500, 0.2500)  4 Hf 3.10, 4 Y 3.10
In (0.7500, 0.2500, 0.2500)  4 Hf 3.10, 4 Y 3.10
In (0.7500, 0.7500, 0.7500)  4 Hf 3.10, 4 Y 3.10
Au (0.2500, 0.2500, 0.2500)  4 Hf 3.10, 4 Y 3.10
Au (0.2500, 0.7500, 0.7500)  4 Hf 3.10, 4 Y 3.10
Au (0.7500, 0.2500, 0.7500)  4 Hf 3.10, 4 Y 3.10
Au (0.7500, 0.7500, 0.2500)  4 Hf 3.10, 4 Y 3.10

Output
DOS(E_F): 2.3 states/eV/f.u.
Calculated density: 10.50 g cm⁻³
Calculated volume: 366 Å³/cell
Energy of formation from the pure elements: -0.35 eV per atom

=====

Compound: DyY2Zn
Source: Alexandria via LeMat-Bulk
Functional: PBE-GGA
Structure: optimized geometry

a = 3.4938 Å, b = 3.4938 Å, c = 33.8697 Å
α = 90.00°, β = 90.00°, γ = 120.00°
With the nearest neighbours (Å) after each atom.
Fractional positions:
Dy (0.0000, 0.0000, 0.0000)  2 Y 3.42, 6 Dy 3.49
Dy (0.3333, 0.6667, 0.6667)  2 Y 3.42, 6 Dy 3.49
Dy (0.6667, 0.3333, 0.3333)  2 Y 3.42, 6 Dy 3.49
Y (0.0000, 0.0000, 0.1011)  3 Zn 3.00
Y (0.0000, 0.0000, 0.8989)  3 Zn 3.00
Y (0.3333, 0.6667, 0.5656)  3 Zn 3.00
Y (0.3333, 0.6667, 0.7677)  3 Zn 3.00
Y (0.6667, 0.3333, 0.2323)  3 Zn 3.00
Y (0.6667, 0.3333, 0.4344)  3 Zn 3.00
Zn (0.0000, 0.0000, 0.5000)  6 Y 3.00
Zn (0.3333, 0.6667, 0.1667)  6 Y 3.00
Zn (0.6667, 0.3333, 0.8333)  6 Y 3.00

Output
DOS(E_F): 6.2 states/eV/f.u.
Calculated density: 5.64 g cm⁻³
Calculated volume: 358 Å³/cell
Energy of formation from the pure elements: 0.15 eV per atom
Polymorph energy (0 for the lowest one): 314 meV per atom

=====

Compound: TaZnSeF2
Source: Alexandria via LeMat-Bulk
Functional: PBE-GGA
Structure: optimized geometry

a = 3.7862 Å, b = 3.7862 Å, c = 6.7754 Å
α = 90.00°, β = 90.00°, γ = 90.00°
With the nearest neighbours (Å) after each atom.
Fractional positions:
Ta (0.0000, 0.0000, 0.0000)  4 Se 2.68
Zn (0.0000, 0.0000, 0.5000)  4 F 1.89
Se (0.5000, 0.5000, 0.0000)  4 Ta 2.68
F (0.0000, 0.5000, 0.5000)  2 Zn 1.89
F (0.5000, 0.0000, 0.5000)  2 Zn 1.89

Output
DOS(E_F): 1.6 states/eV/f.u.
ΔE_f (raw): -0.833 eV/atom
Calculated density: 6.21 g cm⁻³
Calculated volume: 97 Å³/cell

=====

Compound: BaHfVCu2
Source: Alexandria via LeMat-Bulk
Functional: PBE-GGA
Structure: optimized geometry

a = 4.9570 Å, b = 4.9570 Å, c = 5.5563 Å
α = 90.00°, β = 90.00°, γ = 90.00°
With the nearest neighbours (Å) after each atom.
Fractional positions:
Ba (0.0000, 0.0000, 0.0000)  4 Cu 2.48
Hf (0.0000, 0.0000, 0.5000)  2 Ba 2.78
V (0.5000, 0.5000, 0.5000)  4 Hf 3.51, 8 Cu 3.72
Cu (0.0000, 0.5000, 0.0000)  2 Ba 2.48
Cu (0.5000, 0.0000, 0.0000)  2 Ba 2.48

Output
DOS(E_F): 11.0 states/eV/f.u.
Calculated density: 6.01 g cm⁻³
Calculated volume: 137 Å³/cell
Energy of formation from the pure elements: 2.35 eV per atom

=====

Compound: Cr2HgSb
Source: Alexandria via LeMat-Bulk
Functional: PBE-GGA
Structure: optimized geometry

a = 3.9913 Å, b = 3.9913 Å, c = 9.8477 Å
α = 90.00°, β = 90.00°, γ = 90.00°
With the nearest neighbours (Å) after each atom.
Fractional positions:
Cr (0.0000, 0.0000, 0.0000)  4 Sb 2.82
Cr (0.0000, 0.5000, 0.2500)  4 Hg 2.82
Cr (0.5000, 0.0000, 0.7500)  4 Hg 2.82
Cr (0.5000, 0.5000, 0.5000)  4 Sb 2.82
Hg (0.0000, 0.5000, 0.7500)  4 Cr 2.82
Hg (0.5000, 0.0000, 0.2500)  4 Cr 2.82
Sb (0.0000, 0.0000, 0.5000)  4 Cr 2.82
Sb (0.5000, 0.5000, 0.0000)  4 Cr 2.82

Output
DOS(E_F): 2.2 states/eV/f.u.
ΔE_f (raw): 0.473 eV/atom
Calculated density: 9.03 g cm⁻³
Calculated volume: 157 Å³/cell
Polymorph energy (0 for the lowest one): 184 meV per atom

=====

Compound: Li2YMg
Source: Alexandria via LeMat-Bulk
Functional: PBE-GGA
Structure: optimized geometry

a = 5.0172 Å, b = 3.2145 Å, c = 12.0163 Å
α = 90.00°, β = 90.13°, γ = 90.00°
With the nearest neighbours (Å) after each atom.
Fractional positions:
Li (0.2479, 0.2500, 0.1656)  4 Li 2.84-3.09, 1 Y 3.10
Li (0.2515, 0.7500, 0.9459)  4 Li 2.84-3.09
Li (0.7485, 0.2500, 0.0541)  4 Li 2.84-3.09
Li (0.7521, 0.7500, 0.8344)  4 Li 2.84-3.09, 1 Y 3.10
Y (0.2494, 0.2500, 0.4240)  1 Li 3.10, 2 Y 3.21, 4 Mg 3.41-3.42
Y (0.7506, 0.7500, 0.5760)  1 Li 3.10, 2 Y 3.21, 4 Mg 3.41-3.42
Mg (0.2519, 0.2500, 0.7149)  6 Li 3.21-3.31, 2 Mg 3.21, 5 Y 3.41-3.50
Mg (0.7481, 0.7500, 0.2851)  6 Li 3.21-3.31, 2 Mg 3.21, 5 Y 3.41-3.50

Output
DOS(E_F): 2.6 states/eV/f.u.
Calculated density: 2.18 g cm⁻³
Calculated volume: 194 Å³/cell
Energy of formation from the pure elements: 0.03 eV per atom